No. 1
{"formula": "TbNd2Sm", "functional": "PBE-GGA", "state": "optimized geometry", "total_energy_ev_per_cell": -37.53, "n_ef_per_ev_fu": 7.114, "formation_energy_mev_per_atom": 30, "spacegroup": "Pmmn (59)", "lattice": [[5.872, 0.000, 0.000], [0.000, 7.370, 0.000], [0.000, 0.000, 6.362]], "species": ["Nd", "Sm", "Nd", "Sm", "Nd", "Nd", "Tb", "Tb"], "frac_coords": [[0.750, 0.999, 0.833], [0.750, 0.750, 0.334], [0.250, 0.001, 0.167], [0.250, 0.250, 0.666], [0.750, 0.501, 0.833], [0.250, 0.499, 0.167], [0.750, 0.250, 0.334], [0.250, 0.750, 0.666]]}

---

No. 2
{"formula": "Be2BiOsW", "functional": "PBE-GGA", "state": "optimized geometry", "total_energy_ev_per_cell": -23.25, "n_ef_per_ev_fu": 4.701, "formation_energy_mev_per_atom": 2453, "spacegroup": "P4/mmm (123)", "lattice": [[4.246, 0.000, 0.000], [0.000, 5.485, 0.000], [0.000, 0.000, 4.246]], "species": ["Os", "W", "Bi", "Be", "Be"], "frac_coords": [[0.000, 0.500, 0.000], [0.500, 0.500, 0.500], [0.000, 0.000, 0.000], [0.000, 0.000, 0.500], [0.500, 0.000, 0.000]]}

---

No. 3
{"formula": "Pm2Er3Sc3", "functional": "PBE-GGA", "state": "optimized geometry", "total_energy_ev_per_cell": -81.42, "n_ef_per_ev_fu": 10.909, "formation_energy_mev_per_atom": 184, "spacegroup": "Cmcm (63)", "lattice": [[3.527, 0.000, 0.000], [-1.763, 8.254, 0.000], [0.000, 0.000, 16.521]], "species": ["Pm", "Pm", "Er", "Sc", "Sc", "Er", "Er", "Er", "Sc", "Pm", "Er", "Sc", "Sc", "Sc", "Er", "Pm"], "frac_coords": [[0.747, 0.493, 0.895], [0.747, 0.493, 0.605], [0.594, 0.189, 0.039], [0.040, 0.080, 0.620], [0.040, 0.080, 0.880], [0.594, 0.189, 0.461], [0.384, 0.769, 0.250], [0.616, 0.231, 0.750], [0.960, 0.920, 0.380], [0.253, 0.507, 0.105], [0.406, 0.811, 0.539], [0.413, 0.825, 0.750], [0.960, 0.920, 0.120], [0.587, 0.175, 0.250], [0.406, 0.811, 0.961], [0.253, 0.507, 0.395]]}

---

No. 4
{"formula": "NbCr3Ge", "functional": "PBE-GGA", "state": "optimized geometry", "total_energy_ev_per_cell": -35.68, "n_ef_per_ev_fu": 5.360, "formation_energy_mev_per_atom": 1574, "spacegroup": "Pm-3m (221)", "lattice": [[-1.859, 0.184, 4.322], [-1.090, -4.572, -0.275], [4.186, -1.109, 1.848]], "species": ["Cr", "Ge", "Cr", "Nb", "Cr"], "frac_coords": [[0.000, 0.500, 0.000], [0.500, 0.500, 0.500], [0.500, 0.000, 0.000], [0.000, 0.000, 0.000], [0.000, 0.000, 0.500]]}

---

No. 5
{"formula": "Er3Ni6P5", "functional": "PBE-GGA", "state": "optimized geometry", "total_energy_ev_per_cell": -178.88, "n_ef_per_ev_fu": 9.278, "formation_energy_mev_per_atom": -1001, "spacegroup": "Pmmn (59)", "lattice": [[3.751, 0.000, 0.000], [0.000, 9.304, 0.000], [0.000, 0.000, 11.511]], "species": ["Er", "P", "Ni", "Er", "Ni", "Ni", "P", "P", "P", "P", "Ni", "P", "P", "Ni", "Ni", "Ni", "P", "Er", "Er", "Ni", "Ni", "Er", "Ni", "Er", "Ni", "P", "P", "Ni"], "frac_coords": [[0.500, 0.747, 0.500], [0.500, 0.124, 0.500], [0.500, 0.013, 0.000], [0.000, 0.249, 0.660], [0.500, 0.514, 0.000], [0.500, 0.392, 0.187], [0.000, 0.518, 0.873], [0.000, 0.876, 0.000], [0.500, 0.147, 0.170], [0.000, 0.853, 0.330], [0.000, 0.608, 0.313], [0.000, 0.518, 0.127], [0.500, 0.147, 0.830], [0.000, 0.608, 0.687], [0.500, 0.392, 0.813], [0.000, 0.007, 0.829], [0.000, 0.853, 0.670], [0.000, 0.249, 0.340], [0.000, 0.253, 0.000], [0.000, 0.486, 0.500], [0.000, 0.987, 0.500], [0.500, 0.751, 0.840], [0.000, 0.007, 0.171], [0.500, 0.751, 0.160], [0.500, 0.993, 0.329], [0.500, 0.482, 0.627], [0.500, 0.482, 0.373], [0.500, 0.993, 0.671]]}

---

No. 6
{"formula": "La6SnRh3", "functional": "PBE-GGA", "state": "optimized geometry", "total_energy_ev_per_cell": -124.39, "n_ef_per_ev_fu": 7.032, "formation_energy_mev_per_atom": -657, "spacegroup": "P2_1/m (11)", "lattice": [[-0.175, -0.874, -4.243], [4.892, -10.738, 2.011], [-12.312, -1.140, 0.742]], "species": ["Rh", "La", "La", "Rh", "La", "Rh", "La", "La", "Sn", "La", "La", "La", "La", "Rh", "La", "La", "Rh", "La", "Sn", "Rh"], "frac_coords": [[0.250, 0.545, 0.163], [0.750, 0.793, 0.762], [0.250, 0.207, 0.238], [0.750, 0.455, 0.837], [0.250, 0.608, 0.946], [0.250, 0.843, 0.915], [0.750, 0.715, 0.260], [0.250, 0.530, 0.392], [0.750, 0.053, 0.697], [0.750, 0.470, 0.608], [0.250, 0.285, 0.740], [0.250, 0.863, 0.537], [0.750, 0.137, 0.463], [0.750, 0.157, 0.085], [0.250, 0.080, 0.912], [0.750, 0.920, 0.088], [0.250, 0.319, 0.506], [0.750, 0.392, 0.054], [0.250, 0.947, 0.303], [0.750, 0.681, 0.494]]}

---

No. 7
{"formula": "K2CaI2", "functional": "PBE-GGA", "state": "optimized geometry", "total_energy_ev_per_cell": -11.06, "n_ef_per_ev_fu": 0.000, "raw_formation_energy_ev_per_atom": -0.752, "spacegroup": "I4/mmm (139)", "lattice": [[6.202, 0.000, 0.000], [0.000, 6.202, 0.000], [3.101, 3.101, 7.562]], "species": ["K", "I", "K", "Ca", "I"], "frac_coords": [[0.250, 0.750, 0.500], [0.649, 0.649, 0.702], [0.750, 0.250, 0.500], [0.000, 0.000, 0.000], [0.351, 0.351, 0.298]]}

---

No. 8
{"formula": "U2BeOs3", "functional": "PBE-GGA", "state": "optimized geometry", "total_energy_ev_per_cell": -61.31, "n_ef_per_ev_fu": 8.170, "formation_energy_mev_per_atom": -220, "spacegroup": "R-3m (166)", "lattice": [[4.493, -0.109, 1.935], [1.232, 4.322, 1.935], [-0.148, -0.109, 4.890]], "species": ["Os", "Os", "Be", "U", "Os", "U"], "frac_coords": [[0.000, 0.000, 0.500], [0.000, 0.500, 0.000], [0.000, 0.000, 0.000], [0.379, 0.379, 0.379], [0.500, 0.000, 0.000], [0.621, 0.621, 0.621]]}

---

No. 9
{"formula": "CdBiN", "functional": "PBE-GGA", "state": "optimized geometry", "total_energy_ev_per_cell": -23.52, "n_ef_per_ev_fu": 0.613, "raw_formation_energy_ev_per_atom": 0.453, "spacegroup": "P2_1/m (11)", "lattice": [[3.560, 0.000, 0.001], [-0.002, 10.112, 5.992], [-0.007, 21.640, 16.400]], "species": ["N", "Cd", "Bi", "Cd", "N", "Bi"], "frac_coords": [[0.523, 0.761, 0.603], [0.523, 0.793, 0.227], [0.523, 0.031, 0.327], [0.023, 0.491, 0.445], [0.023, 0.524, 0.069], [0.023, 0.253, 0.345]]}

---

No. 10
{"formula": "La2GaC", "functional": "PBE-GGA", "state": "optimized geometry", "total_energy_ev_per_cell": -22.04, "n_ef_per_ev_fu": 2.731, "formation_energy_mev_per_atom": 15, "spacegroup": "R-3m (166)", "lattice": [[3.657, 0.000, 0.000], [1.828, 3.167, 0.000], [1.828, 1.056, 9.502]], "species": ["La", "C", "Ga", "La"], "frac_coords": [[0.885, 0.885, 0.346], [0.500, 0.500, 0.500], [0.000, 0.000, 0.000], [0.115, 0.115, 0.654]]}

---

No. 11
{"formula": "LiDyGeIr", "functional": "PBE-GGA", "state": "optimized geometry", "total_energy_ev_per_cell": -22.35, "n_ef_per_ev_fu": 2.870, "formation_energy_mev_per_atom": -590, "spacegroup": "F-43m (216)", "lattice": [[4.595, 0.000, 0.000], [2.298, 3.979, 0.000], [2.298, 1.326, 3.752]], "species": ["Ir", "Dy", "Ge", "Li"], "frac_coords": [[0.750, 0.750, 0.750], [0.000, 0.000, 0.000], [0.500, 0.500, 0.500], [0.250, 0.250, 0.250]]}

---

No. 12
{"formula": "Li4TmCd8", "functional": "PBE-GGA", "state": "optimized geometry", "total_energy_ev_per_cell": -22.23, "n_ef_per_ev_fu": 5.872, "formation_energy_mev_per_atom": -214, "spacegroup": "I4/mmm (139)", "lattice": [[-1.453, 3.062, 4.031], [-6.560, -2.292, 2.816], [2.665, -2.713, 6.462]], "species": ["Li", "Cd", "Cd", "Cd", "Cd", "Li", "Li", "Cd", "Cd", "Cd", "Tm", "Li", "Cd"], "frac_coords": [[0.000, 0.000, 0.500], [0.652, 0.348, 0.348], [0.348, 0.652, 0.652], [0.000, 0.348, 0.652], [0.289, 0.211, 0.211], [0.500, 0.500, 0.000], [0.500, 0.000, 0.500], [0.500, 0.789, 0.211], [0.500, 0.211, 0.789], [0.000, 0.652, 0.348], [0.000, 0.000, 0.000], [0.000, 0.500, 0.000], [0.711, 0.789, 0.789]]}